[1]
{"formula": "CaSmCuAu", "functional": "PBE", "state": "relaxed", "lattice_angstrom": [[3.960, 0.000, 0.000], [0.000, 4.539, 0.000], [-1.980, 0.000, 5.463]], "species": ["Ca", "Sm", "Cu", "Au"], "fractional_positions": [[0.142, 0.000, 0.283], [0.861, 0.500, 0.723], [0.423, 0.000, 0.846], [0.574, 0.500, 0.148]], "de_polymorph_ev_per_atom": 0.000, "final_energy_ev_per_cell": -16.1, "e_form_mev_per_atom": -491, "sg": "Amm2"}

[2]
{"formula": "CaSmCuAu", "functional": "PBE", "state": "relaxed", "lattice_angstrom": [[5.089, 0.000, 0.000], [2.544, 4.407, 0.000], [2.544, 1.469, 4.155]], "species": ["Ca", "Au", "Cu", "Sm"], "fractional_positions": [[0.000, 0.000, 0.000], [0.250, 0.250, 0.250], [0.750, 0.750, 0.750], [0.500, 0.500, 0.500]], "de_polymorph_ev_per_atom": 0.016, "final_energy_ev_per_cell": -16.0, "e_form_mev_per_atom": -474, "sg": "F-43m"}

[3]
{"formula": "Ca2Cu3SnAu12", "functional": "PBE", "state": "relaxed", "lattice_angstrom": [[-5.797, -2.225, -5.495], [-3.842, -7.281, 0.988], [-7.944, -0.024, 2.377]], "species": ["Ca", "Ca", "Cu", "Cu", "Cu", "Sn", "Au", "Au", "Au", "Au", "Au", "Au", "Au", "Au", "Au", "Au", "Au", "Au"], "fractional_positions": [[0.607, 0.607, 0.607], [0.393, 0.393, 0.393], [0.500, 0.000, 0.000], [0.000, 0.500, 0.000], [0.000, 0.000, 0.500], [0.000, 0.000, 0.000], [0.365, 0.365, 0.880], [0.860, 0.860, 0.401], [0.401, 0.860, 0.860], [0.880, 0.365, 0.365], [0.860, 0.401, 0.860], [0.365, 0.880, 0.365], [0.635, 0.635, 0.120], [0.140, 0.140, 0.599], [0.599, 0.140, 0.140], [0.120, 0.635, 0.635], [0.140, 0.599, 0.140], [0.635, 0.120, 0.635]], "final_energy_ev_per_cell": -59.5, "e_form_mev_per_atom": 6, "sg": "R-3m"}

[4]
{"formula": "CaTbCuAu", "functional": "PBE", "state": "relaxed", "lattice_angstrom": [[-0.713, -1.903, 3.304], [1.265, -3.907, -1.978], [5.445, 1.797, -0.067]], "species": ["Ca", "Tb", "Cu", "Au"], "fractional_positions": [[0.142, 0.000, 0.285], [0.862, 0.500, 0.724], [0.421, 0.000, 0.842], [0.575, 0.500, 0.149]], "de_polymorph_ev_per_atom": 0.000, "final_energy_ev_per_cell": -16.0, "e_form_mev_per_atom": -503, "sg": "Amm2"}

[5]
{"formula": "CaTbCuAu", "functional": "PBE", "state": "relaxed", "lattice_angstrom": [[5.042, 0.000, 0.000], [2.521, 4.366, 0.000], [2.521, 1.455, 4.117]], "species": ["Tb", "Ca", "Au", "Cu"], "fractional_positions": [[0.000, 0.000, 0.000], [0.500, 0.500, 0.500], [0.750, 0.750, 0.750], [0.250, 0.250, 0.250]], "de_polymorph_ev_per_atom": 0.023, "final_energy_ev_per_cell": -15.9, "e_form_mev_per_atom": -480, "sg": "F-43m"}

[6]
{"formula": "CaCu2TcAu", "functional": "PBE", "state": "relaxed", "lattice_angstrom": [[-1.490, -4.469, -0.305], [1.407, -0.164, -4.480], [4.251, -1.512, 1.390]], "species": ["Ca", "Au", "Tc", "Cu", "Cu"], "fractional_positions": [[0.000, 0.000, 0.000], [0.500, 0.500, 0.500], [0.000, 0.500, 0.000], [0.000, 0.000, 0.500], [0.500, 0.000, 0.000]], "final_energy_ev_per_cell": -15.3, "e_form_mev_per_atom": 1709, "sg": "P4/mmm"}